[1]
This record from OQMD describes a relaxed structure of Na2ZnPtS4. The functional is GGA-PBE.

a = 6.913 Å, b = 6.913 Å, c = 6.979 Å
α = 90.00°, β = 90.00°, γ = 90.00°
Element x y z (fractional)
Na (0.000, 0.000, 0.000)
Na (0.000, 0.500, 0.250)
Na (0.500, 0.000, 0.750)
Na (0.500, 0.500, 0.500)
Zn (0.000, 0.500, 0.750)
Zn (0.500, 0.000, 0.250)
Pt (0.000, 0.000, 0.500)
Pt (0.500, 0.500, 0.000)
S (0.176, 0.274, 0.568)
S (0.226, 0.676, 0.932)
S (0.274, 0.824, 0.432)
S (0.324, 0.226, 0.068)
S (0.676, 0.774, 0.068)
S (0.726, 0.176, 0.432)
S (0.774, 0.324, 0.932)
S (0.824, 0.726, 0.568)

Summary:
- VASP energy (eV/atom) = -3.852



[2]
This record from OQMD describes a relaxed structure of Er2In2Pd3Pt. The functional is GGA-PBE.

a = 4.584 Å, b = 4.584 Å, c = 8.883 Å
α = 90.00°, β = 90.00°, γ = 120.00°
Element x y z (fractional)
Er (0.000, 0.000, 0.000)
Er (0.333, 0.667, 0.494)
In (0.667, 0.333, 0.245)
In (0.667, 0.333, 0.745)
Pd (0.000, 0.000, 0.338)
Pd (0.000, 0.000, 0.659)
Pd (0.333, 0.667, 0.832)
Pt (0.333, 0.667, 0.155)

Summary:
- VASP energy (eV/atom) = -5.396



[3]
This record from OQMD describes a relaxed structure of TbSbIr. The functional is GGA-PBE.

a = 7.203 Å, b = 4.526 Å, c = 7.926 Å
α = 90.00°, β = 90.00°, γ = 90.00°
Element x y z (fractional)
Tb (0.012, 0.250, 0.193)
Tb (0.488, 0.750, 0.693)
Tb (0.512, 0.250, 0.307)
Tb (0.988, 0.750, 0.807)
Sb (0.178, 0.250, 0.588)
Sb (0.322, 0.750, 0.088)
Sb (0.678, 0.250, 0.912)
Sb (0.822, 0.750, 0.412)
Ir (0.208, 0.750, 0.411)
Ir (0.292, 0.250, 0.911)
Ir (0.708, 0.750, 0.089)
Ir (0.792, 0.250, 0.589)

Summary:
- VASP energy (eV/atom) = -6.767



[4]
This record from OQMD describes a relaxed structure of NbBAs. The functional is GGA-PBE.

a = 5.613 Å, b = 5.613 Å, c = 5.613 Å
α = 90.00°, β = 90.00°, γ = 90.00°
Element x y z (fractional)
Nb (0.000, 0.000, 0.000)
Nb (0.000, 0.500, 0.500)
Nb (0.500, 0.000, 0.500)
Nb (0.500, 0.500, 0.000)
B (0.250, 0.250, 0.750)
B (0.250, 0.750, 0.250)
B (0.750, 0.250, 0.250)
B (0.750, 0.750, 0.750)
As (0.000, 0.000, 0.500)
As (0.000, 0.500, 0.000)
As (0.500, 0.000, 0.000)
As (0.500, 0.500, 0.500)

Summary:
- polymorph energy (0 for the lowest one) (eV per atom) = 0.000



[5]
This record from OQMD describes a relaxed structure of KErGaTe3. The functional is GGA-PBE.

a = 8.049 Å, b = 8.049 Å, c = 11.561 Å
α = 90.00°, β = 90.00°, γ = 145.45°
Element x y z (fractional)
K (0.245, 0.755, 0.750)
K (0.755, 0.245, 0.250)
Er (0.000, 0.000, 0.000)
Er (0.000, 0.000, 0.500)
Ga (0.484, 0.516, 0.250)
Ga (0.516, 0.484, 0.750)
Te (0.072, 0.928, 0.250)
Te (0.375, 0.625, 0.060)
Te (0.375, 0.625, 0.440)
Te (0.625, 0.375, 0.560)
Te (0.625, 0.375, 0.940)
Te (0.928, 0.072, 0.750)

Summary:
- VASP energy (eV/atom) = -3.941



[6]
This record from OQMD describes a relaxed structure of Zr4NiAuN2. The functional is GGA-PBE.

a = 3.287 Å, b = 3.287 Å, c = 13.518 Å
α = 90.00°, β = 90.00°, γ = 120.00°
Element x y z (fractional)
Zr (0.000, 0.000, 0.142)
Zr (0.000, 0.000, 0.858)
Zr (0.667, 0.333, 0.333)
Zr (0.667, 0.333, 0.667)
Ni (0.667, 0.333, 0.000)
Au (0.000, 0.000, 0.500)
N (0.333, 0.667, 0.240)
N (0.333, 0.667, 0.760)

Summary:
- VASP energy (eV/atom) = -8.422